# 1
Below is crystalline Nd5InAu4 at its relaxed geometry, with properties calculated at the PBE-GGA level.

The structure in POSCAR format:
```
Nd5InAu4
1.0
3.714 0.000 0.000
0.000 3.714 0.000
0.000 0.000 19.087
Nd In Au
5 1 4
direct
0.000 0.000 0.000
0.000 0.000 0.195
0.000 0.000 0.390
0.000 0.000 0.610
0.000 0.000 0.805
0.500 0.500 0.500
0.500 0.500 0.097
0.500 0.500 0.293
0.500 0.500 0.707
0.500 0.500 0.903
```

* formation energy: -7.07 eV per formula unit

=====

# 2
Below is crystalline Nd2InAu at its relaxed geometry, with properties calculated at the PBE-GGA level.

The structure in POSCAR format:
```
Nd2InAu
1.0
2.010 1.161 8.757
-2.010 1.161 8.757
0.000 -2.321 8.757
Nd In Au
2 1 1
direct
0.242 0.242 0.242
0.758 0.758 0.758
0.000 0.000 0.000
0.500 0.500 0.500
```

* formation energy: -1.78 eV per formula unit

=====

# 3
Below is crystalline Nd2InAu4 at its relaxed geometry, with properties calculated at the PBE-GGA level.

The structure in POSCAR format:
```
Nd2InAu4
1.0
2.343 1.353 9.419
-2.343 1.353 9.419
0.000 -2.705 9.419
Nd In Au
2 1 4
direct
0.248 0.248 0.248
0.752 0.752 0.752
0.000 0.000 0.000
0.140 0.140 0.140
0.366 0.366 0.366
0.634 0.634 0.634
0.860 0.860 0.860
```

* formation energy: -4.09 eV per formula unit

=====

# 4
Below is crystalline Nd2In3Au4 at its relaxed geometry, with properties calculated at the PBE-GGA level.

The structure in POSCAR format:
```
Nd2In3Au4
1.0
4.313 -2.494 0.000
4.313 2.494 0.000
-0.079 0.000 9.763
Nd In Au
2 3 4
direct
0.165 0.165 0.282
0.835 0.835 0.718
0.170 0.170 0.917
0.500 0.500 0.500
0.830 0.830 0.083
0.168 0.168 0.595
0.497 0.497 0.151
0.503 0.503 0.849
0.832 0.832 0.405
```

* formation energy: -5.16 eV per formula unit
* energy above the lowest structure with this stoichiometry: 0 meV per atom

=====

# 5
Below is crystalline Nd4InAu at its relaxed geometry, with properties calculated at the PBE-GGA level.

The structure in POSCAR format:
```
Nd4InAu
1.0
2.799 -10.896 0.000
2.799 10.896 0.000
0.000 0.000 6.551
Nd In Au
8 2 2
direct
0.058 0.942 0.500
0.196 0.804 0.777
0.215 0.785 0.294
0.386 0.614 0.544
0.614 0.386 0.044
0.785 0.215 0.794
0.804 0.196 0.277
0.942 0.058 0.000
0.345 0.655 0.029
0.655 0.345 0.529
0.077 0.923 0.018
0.923 0.077 0.518
```

* formation energy: -1.71 eV per formula unit
* energy above the lowest structure with this stoichiometry: 126 meV per atom

=====

# 6
Below is crystalline Nd2InAu at its relaxed geometry, with properties calculated at the PBE-GGA level.

The structure in POSCAR format:
```
Nd2InAu
1.0
3.716 0.000 0.000
0.000 3.716 0.000
0.000 0.000 7.964
Nd In Au
2 1 1
direct
0.000 0.000 0.232
0.000 0.000 0.768
0.500 0.500 0.500
0.500 0.500 0.000
```

* formation energy: -2.48 eV per formula unit

=====

# 7
Below is crystalline NdIn2Au at its relaxed geometry, with properties calculated at the PBE-GGA level.

The structure in POSCAR format:
```
NdIn2Au
1.0
-2.419 2.419 8.478
2.419 -2.419 8.478
2.419 2.419 -8.478
Nd In Au
2 4 2
direct
0.135 0.135 0.000
0.865 0.865 0.000
0.000 0.500 0.500
0.356 0.356 0.000
0.500 0.000 0.500
0.644 0.644 0.000
0.250 0.750 0.500
0.750 0.250 0.500
```

* formation energy: -2.25 eV per formula unit

=====

# 8
Below is crystalline Nd2In3Au4 at its relaxed geometry, with properties calculated at the PBE-GGA level.

The structure in POSCAR format:
```
Nd2In3Au4
1.0
3.113 -8.345 0.000
3.113 8.345 0.000
0.000 0.000 8.112
Nd In Au
4 6 8
direct
0.105 0.895 0.908
0.395 0.605 0.408
0.605 0.395 0.592
0.895 0.105 0.092
0.000 0.000 0.500
0.023 0.477 0.750
0.477 0.023 0.250
0.500 0.500 0.000
0.523 0.977 0.750
0.977 0.523 0.250
0.173 0.827 0.536
0.193 0.307 0.750
0.307 0.193 0.250
0.327 0.673 0.036
0.673 0.327 0.964
0.693 0.807 0.750
0.807 0.693 0.250
0.827 0.173 0.464
```

* formation energy: -4.83 eV per formula unit
* energy above the lowest structure with this stoichiometry: 37 meV per atom